1.
Here is an optimized crystal structure of SrLi2Hg5 from the Alexandria database. Energies are from PBE.

Formation enthalpy at 0 K: -0.320 eV/atom

Cell: 4.498 7.400 11.903 Å, 90.00 90.00 90.00°
Fractional positions:
Sr (0.000, 0.000, 0.000)
Sr (0.500, 0.500, 0.500)
Li (0.000, 0.500, 0.227)
Li (0.000, 0.500, 0.773)
Li (0.500, 0.000, 0.273)
Li (0.500, 0.000, 0.727)
Hg (0.000, 0.214, 0.360)
Hg (0.000, 0.214, 0.640)
Hg (0.000, 0.500, 0.000)
Hg (0.000, 0.786, 0.360)
Hg (0.000, 0.786, 0.640)
Hg (0.500, 0.000, 0.500)
Hg (0.500, 0.286, 0.140)
Hg (0.500, 0.286, 0.860)
Hg (0.500, 0.714, 0.140)
Hg (0.500, 0.714, 0.860)

---

2.
Here is an optimized crystal structure of Ac4CoPb2 from the Alexandria database. Energies are from PBE.

Formation enthalpy at 0 K: -0.326 eV/atom

Cell: 6.786 7.439 10.157 Å, 90.00 103.53 90.00°
Fractional positions:
Ac (0.204, 0.250, 0.102)
Ac (0.274, 0.502, 0.753)
Ac (0.274, 0.998, 0.753)
Ac (0.293, 0.750, 0.406)
Ac (0.707, 0.250, 0.594)
Ac (0.726, 0.002, 0.247)
Ac (0.726, 0.498, 0.247)
Ac (0.796, 0.750, 0.898)
Co (0.479, 0.250, 0.339)
Co (0.521, 0.750, 0.661)
Pb (0.153, 0.250, 0.444)
Pb (0.311, 0.750, 0.060)
Pb (0.689, 0.250, 0.940)
Pb (0.847, 0.750, 0.556)

---

3.
Here is an optimized crystal structure of Nb2Ni6Rh from the Alexandria database. Energies are from PBE.

Formation enthalpy at 0 K: -0.070 eV/atom

Cell: 4.876 4.876 5.754 Å, 90.11 90.11 59.95°
Fractional positions:
Nb (0.167, 0.167, 0.133)
Nb (0.833, 0.833, 0.867)
Ni (0.154, 0.673, 0.334)
Ni (0.327, 0.327, 0.665)
Ni (0.327, 0.846, 0.666)
Ni (0.673, 0.154, 0.334)
Ni (0.673, 0.673, 0.335)
Ni (0.846, 0.327, 0.666)
Rh (0.500, 0.500, 0.000)

---

4.
Here is an optimized crystal structure of AgAs2S2Br2 from the Alexandria database. Energies are from PBE.

Energy relative to the elements, uncorrected: -68 meV per atom

Cell: 15.295 3.490 8.244 Å, 90.00 122.56 90.00°
Fractional positions:
Ag (0.000, 0.000, 0.000)
Ag (0.500, 0.500, 0.000)
As (0.147, 0.000, 0.645)
As (0.353, 0.500, 0.355)
As (0.647, 0.500, 0.645)
As (0.853, 0.000, 0.355)
S (0.237, 0.000, 0.240)
S (0.263, 0.500, 0.760)
S (0.737, 0.500, 0.240)
S (0.763, 0.000, 0.760)
Br (0.001, 0.500, 0.740)
Br (0.499, 0.000, 0.260)
Br (0.501, 0.000, 0.740)
Br (0.999, 0.500, 0.260)

---

5.
Here is an optimized crystal structure of Sb5Se4 from the Alexandria database. Energies are from PBE.

Energy relative to the elements, uncorrected: 174 meV per atom

Cell: 8.623 8.623 7.102 Å, 90.00 90.00 120.00°
Fractional positions:
Sb (0.000, 0.273, 0.250)
Sb (0.000, 0.727, 0.750)
Sb (0.273, 0.000, 0.250)
Sb (0.273, 0.273, 0.750)
Sb (0.333, 0.667, 0.000)
Sb (0.333, 0.667, 0.500)
Sb (0.667, 0.333, 0.000)
Sb (0.667, 0.333, 0.500)
Sb (0.727, 0.000, 0.750)
Sb (0.727, 0.727, 0.250)
Se (0.000, 0.000, 0.000)
Se (0.000, 0.000, 0.500)
Se (0.000, 0.382, 0.750)
Se (0.000, 0.618, 0.250)
Se (0.382, 0.000, 0.750)
Se (0.382, 0.382, 0.250)
Se (0.618, 0.000, 0.250)
Se (0.618, 0.618, 0.750)

---

6.
Here is an optimized crystal structure of Tl2In5Hg6 from the Alexandria database. Energies are from PBE.

Formation enthalpy at 0 K: 0.016 eV/atom

Cell: 11.826 17.351 3.521 Å, 90.00 90.00 90.00°
Fractional positions:
Tl (0.131, 0.235, 0.000)
Tl (0.369, 0.735, 0.000)
Tl (0.631, 0.265, 0.000)
Tl (0.869, 0.765, 0.000)
In (0.000, 0.500, 0.500)
In (0.116, 0.771, 0.500)
In (0.176, 0.059, 0.500)
In (0.324, 0.559, 0.500)
In (0.384, 0.271, 0.500)
In (0.500, 0.000, 0.500)
In (0.616, 0.729, 0.500)
In (0.676, 0.441, 0.500)
In (0.824, 0.941, 0.500)
In (0.884, 0.229, 0.500)
Hg (0.057, 0.919, 0.000)
Hg (0.111, 0.624, 0.000)
Hg (0.199, 0.397, 0.500)
Hg (0.301, 0.897, 0.500)
Hg (0.389, 0.124, 0.000)
Hg (0.443, 0.419, 0.000)
Hg (0.557, 0.581, 0.000)
Hg (0.611, 0.876, 0.000)
Hg (0.699, 0.103, 0.500)
Hg (0.801, 0.603, 0.500)
Hg (0.889, 0.376, 0.000)
Hg (0.943, 0.081, 0.000)

---

7.
Here is an optimized crystal structure of Na3TaAg2S6 from the Alexandria database. Energies are from PBE.

Energy relative to the elements, uncorrected: -652 meV per atom

Cell: 6.732 6.732 6.797 Å, 98.06 98.06 122.68°
Fractional positions:
Na (0.000, 0.000, 0.000)
Na (0.318, 0.682, 0.000)
Na (0.682, 0.318, 0.000)
Ta (0.500, 0.500, 0.500)
Ag (0.159, 0.841, 0.500)
Ag (0.841, 0.159, 0.500)
S (0.112, 0.413, 0.292)
S (0.286, 0.286, 0.737)
S (0.413, 0.112, 0.292)
S (0.587, 0.888, 0.708)
S (0.714, 0.714, 0.263)
S (0.888, 0.587, 0.708)

---

8.
Here is an optimized crystal structure of KTaTeO5 from the Alexandria database. Energies are from PBE.

Energy relative to the elements, uncorrected: -1906 meV per atom

Cell: 5.974 5.974 7.559 Å, 99.70 99.70 105.89°
Fractional positions:
K (0.170, 0.830, 0.750)
K (0.830, 0.170, 0.250)
Ta (0.500, 0.500, 0.000)
Ta (0.500, 0.500, 0.500)
Te (0.173, 0.827, 0.250)
Te (0.827, 0.173, 0.750)
O (0.156, 0.316, 0.959)
O (0.201, 0.590, 0.392)
O (0.316, 0.156, 0.459)
O (0.410, 0.799, 0.108)
O (0.441, 0.559, 0.750)
O (0.559, 0.441, 0.250)
O (0.590, 0.201, 0.892)
O (0.684, 0.844, 0.541)
O (0.799, 0.410, 0.608)
O (0.844, 0.684, 0.041)

---

9.
Here is an optimized crystal structure of RuS4Cl from the Alexandria database. Energies are from PBE.

Energy relative to the elements, uncorrected: -106 meV per atom

Cell: 6.457 7.294 7.822 Å, 115.59 99.26 103.98°
Fractional positions:
Ru (0.196, 0.010, 0.468)
Ru (0.804, 0.990, 0.532)
S (0.034, 0.816, 0.618)
S (0.155, 0.186, 0.789)
S (0.394, 0.095, 0.266)
S (0.418, 0.767, 0.449)
S (0.582, 0.233, 0.551)
S (0.606, 0.905, 0.734)
S (0.845, 0.814, 0.211)
S (0.966, 0.184, 0.382)
Cl (0.242, 0.544, 0.878)
Cl (0.758, 0.456, 0.122)

---

10.
Here is an optimized crystal structure of TbPm2Sb3Rh4 from the Alexandria database. Energies are from PBE.

Energy relative to the elements, uncorrected: -851 meV per atom

Cell: 4.385 4.385 11.493 Å, 90.00 90.00 90.00°
Fractional positions:
Tb (0.000, 0.000, 0.000)
Pm (0.000, 0.500, 0.724)
Pm (0.500, 0.000, 0.276)
Sb (0.000, 0.500, 0.369)
Sb (0.500, 0.000, 0.631)
Sb (0.500, 0.500, 0.000)
Rh (0.000, 0.000, 0.500)
Rh (0.000, 0.500, 0.146)
Rh (0.500, 0.000, 0.854)
Rh (0.500, 0.500, 0.500)